Record 1
This record from Alexandria describes an optimized crystal structure of TbDy2Tl3Se6. The functional is PBE.

Geometry as CIF:
```
data_TbDy2Tl3Se6
_cell_length_a 7.261
_cell_length_b 12.576
_cell_length_c 8.141
_cell_angle_alpha 90.00
_cell_angle_beta 107.30
_cell_angle_gamma 90.00
_space_group_name_H-M_alt 'C 1 2/m 1'
_space_group_IT_number 12
_space_group_name_Hall '-C 2y'
loop_
_atom_site_label
_atom_site_type_symbol
_atom_site_fract_x
_atom_site_fract_y
_atom_site_fract_z
_atom_site_occupancy
Tb1 Tb 0.000 0.000 0.000 1
Dy1 Dy 0.000 0.333 0.000 1
Tl1 Tl 0.000 0.167 0.500 1
Tl2 Tl 0.000 0.500 0.500 1
Se1 Se 0.234 0.500 0.204 1
Se2 Se 0.235 0.167 0.204 1
```

Output
Its calculated density is 7.35 g/cm3. As for the uncorrected formation energy: -1.389 eV per atom. Its volume is 710 Å³/cell. The calculation puts the magnetic moment at 0.000 μB per formula unit. The calculation puts the electronic total energy at -4.876 eV/atom.



Record 2
This record from Alexandria describes an optimized crystal structure of NdAlPb2. The functional is PBE.

Geometry as CIF:
```
data_NdAlPb2
_cell_length_a 4.748
_cell_length_b 4.748
_cell_length_c 4.812
_cell_angle_alpha 90.00
_cell_angle_beta 90.00
_cell_angle_gamma 90.00
_space_group_name_H-M_alt 'P 4/m m m'
_space_group_IT_number 123
_space_group_name_Hall '-P 4 2'
loop_
_atom_site_label
_atom_site_type_symbol
_atom_site_fract_x
_atom_site_fract_y
_atom_site_fract_z
_atom_site_occupancy
Nd1 Nd 0.000 0.000 0.000 1
Al1 Al 0.500 0.500 0.000 1
Pb1 Pb 0.000 0.500 0.500 1
```

Output
Its calculated density is 8.96 g/cm3. For the offset from the most stable computed form, the calculation gives 0.000 kcal/mol of atoms. Its volume is 108 Å³/cell. As for the formation energy: -0.288 eV per atom. The calculation puts the magnetic moment at 0.000 μB per formula unit. The calculation puts the electronic total energy at -4.269 eV/atom.



Record 3
This record from Alexandria describes an optimized crystal structure of Ac2TlPd. The functional is PBE.

Geometry as CIF:
```
data_Ac2TlPd
_cell_length_a 3.889
_cell_length_b 3.889
_cell_length_c 8.280
_cell_angle_alpha 90.00
_cell_angle_beta 90.00
_cell_angle_gamma 90.00
_space_group_name_H-M_alt 'P 4/m m m'
_space_group_IT_number 123
_space_group_name_Hall '-P 4 2'
loop_
_atom_site_label
_atom_site_type_symbol
_atom_site_fract_x
_atom_site_fract_y
_atom_site_fract_z
_atom_site_occupancy
Ac1 Ac 0.000 0.000 0.221 1
Tl1 Tl 0.500 0.500 0.500 1
Pd1 Pd 0.500 0.500 0.000 1
```

Output
Its calculated density is 10.14 g/cm3. Its volume is 125 Å³/cell. As for the formation energy: -0.543 eV per atom. The calculation puts the magnetic moment at 0.000 μB per formula unit. The calculation puts the electronic total energy at -4.487 eV/atom.



Record 4
This record from Alexandria describes an optimized crystal structure of Sr3CdPd. The functional is PBE.

Geometry as CIF:
```
data_Sr3CdPd
_cell_length_a 10.246
_cell_length_b 8.261
_cell_length_c 9.180
_cell_angle_alpha 90.00
_cell_angle_beta 109.27
_cell_angle_gamma 90.00
_space_group_name_H-M_alt 'P 1 21/c 1'
_space_group_IT_number 14
_space_group_name_Hall '-P 2ybc'
loop_
_atom_site_label
_atom_site_type_symbol
_atom_site_fract_x
_atom_site_fract_y
_atom_site_fract_z
_atom_site_occupancy
Sr1 Sr 0.083 0.014 0.218 1
Sr2 Sr 0.318 0.163 0.619 1
Sr3 Sr 0.355 0.691 0.501 1
Cd1 Cd 0.057 0.665 0.034 1
Pd1 Pd 0.412 0.031 0.341 1
```

Output
Its calculated density is 4.36 g/cm3. For the offset from the most stable computed form, the calculation gives 0.000 kcal/mol of atoms. Its volume is 733 Å³/cell. As for the formation energy: -0.354 eV per atom. The calculation puts the magnetic moment at 0.000 μB per formula unit. The calculation puts the electronic total energy at -2.585 eV/atom.



Record 5
This record from Alexandria describes an optimized crystal structure of DyHoTm3Sc. The functional is PBE.

Geometry as CIF:
```
data_DyHoTm3Sc
_cell_length_a 21.142
_cell_length_b 5.379
_cell_length_c 6.513
_cell_angle_alpha 90.00
_cell_angle_beta 97.65
_cell_angle_gamma 90.00
_space_group_name_H-M_alt 'C 1 2/m 1'
_space_group_IT_number 12
_space_group_name_Hall '-C 2y'
loop_
_atom_site_label
_atom_site_type_symbol
_atom_site_fract_x
_atom_site_fract_y
_atom_site_fract_z
_atom_site_occupancy
Dy1 Dy 0.071 0.000 0.199 1
Ho1 Ho 0.165 0.500 0.040 1
Tm1 Tm 0.025 0.500 0.764 1
Tm2 Tm 0.160 0.000 0.764 1
Tm3 Tm 0.227 0.000 0.312 1
Sc1 Sc 0.132 0.500 0.471 1
```

Output
Its calculated density is 7.96 g/cm3. Its volume is 734 Å³/cell. As for the formation energy: 0.195 eV per atom. The calculation puts the magnetic moment at 0.001 μB per formula unit. The calculation puts the electronic total energy at -4.626 eV/atom.



Record 6
This record from Alexandria describes an optimized crystal structure of AcGe2W. The functional is PBE.

Geometry as CIF:
```
data_AcGe2W
_cell_length_a 3.3373
_cell_length_b 3.3373
_cell_length_c 30.1632
_cell_angle_alpha 90.00
_cell_angle_beta 90.00
_cell_angle_gamma 120.00
_space_group_name_H-M_alt 'R -3 m'
_space_group_IT_number 166
_space_group_name_Hall '-R 3 2"'
loop_
_atom_site_label
_atom_site_type_symbol
_atom_site_fract_x
_atom_site_fract_y
_atom_site_fract_z
_atom_site_occupancy
Ac1 Ac 0.0000 0.0000 0.0000 1
Ge1 Ge 0.0000 0.0000 0.1059 1
W1 W 0.0000 0.0000 0.5000 1
```

Output
Its calculated density is 9.52 g/cm3. For the offset from the most stable computed form, the calculation gives 12.611 kcal/mol of atoms. Its volume is 291 Å³/cell. As for the formation energy: 0.559 eV per atom. The calculation puts the magnetic moment at 0.000 μB per formula unit. The calculation puts the electronic total energy at -6.015 eV/atom.



Record 7
This record from Alexandria describes an optimized crystal structure of Be2OsRu. The functional is PBE.

Geometry as CIF:
```
data_Be2OsRu
_cell_length_a 7.558
_cell_length_b 2.681
_cell_length_c 4.703
_cell_angle_alpha 90.00
_cell_angle_beta 101.51
_cell_angle_gamma 90.00
_space_group_name_H-M_alt 'C 1 2/m 1'
_space_group_IT_number 12
_space_group_name_Hall '-C 2y'
loop_
_atom_site_label
_atom_site_type_symbol
_atom_site_fract_x
_atom_site_fract_y
_atom_site_fract_z
_atom_site_occupancy
Be1 Be 0.249 0.000 0.248 1
Os1 Os 0.000 0.000 0.500 1
Ru1 Ru 0.000 0.500 0.000 1
```

Output
Its calculated density is 11.00 g/cm3. For the offset from the most stable computed form, the calculation gives 5.430 kcal/mol of atoms. Its volume is 93 Å³/cell. As for the formation energy: 0.006 eV per atom. The calculation puts the magnetic moment at 0.000 μB per formula unit. The calculation puts the electronic total energy at -6.984 eV/atom.



Record 8
This record from Alexandria describes an optimized crystal structure of V2CrH. The functional is PBE.

Geometry as CIF:
```
data_V2CrH
_cell_length_a 2.792
_cell_length_b 2.792
_cell_length_c 5.427
_cell_angle_alpha 90.00
_cell_angle_beta 90.00
_cell_angle_gamma 90.00
_space_group_name_H-M_alt 'P 4/m m m'
_space_group_IT_number 123
_space_group_name_Hall '-P 4 2'
loop_
_atom_site_label
_atom_site_type_symbol
_atom_site_fract_x
_atom_site_fract_y
_atom_site_fract_z
_atom_site_occupancy
V1 V 0.000 0.000 0.226 1
Cr1 Cr 0.500 0.500 0.500 1
H1 H 0.500 0.500 0.000 1
```

Output
Its calculated density is 6.08 g/cm3. For the offset from the most stable computed form, the calculation gives 10.594 kcal/mol of atoms. Its volume is 42 Å³/cell. The calculation puts the magnetic moment at 0.000 μB per formula unit. The calculation puts the electronic total energy at -7.464 eV/atom.



Record 9
This record from Alexandria describes an optimized crystal structure of LiNdSmHg. The functional is PBE.

Geometry as CIF:
```
data_LiNdSmHg
_cell_length_a 7.580
_cell_length_b 7.580
_cell_length_c 7.580
_cell_angle_alpha 90.00
_cell_angle_beta 90.00
_cell_angle_gamma 90.00
_space_group_name_H-M_alt 'F -4 3 m'
_space_group_IT_number 216
_space_group_name_Hall 'F -4 2 3'
loop_
_atom_site_label
_atom_site_type_symbol
_atom_site_fract_x
_atom_site_fract_y
_atom_site_fract_z
_atom_site_occupancy
Li1 Li 0.000 0.000 0.000 1
Nd1 Nd 0.250 0.250 0.750 1
Sm1 Sm 0.250 0.250 0.250 1
Hg1 Hg 0.000 0.000 0.500 1
```

Output
Its calculated density is 7.66 g/cm3. Its volume is 435 Å³/cell. As for the formation energy: -0.206 eV per atom. The calculation puts the magnetic moment at 0.566 μB per formula unit. The calculation puts the electronic total energy at -3.131 eV/atom.



Record 10
This record from Alexandria describes an optimized crystal structure of BaZrOs2. The functional is PBE.

Geometry as CIF:
```
data_BaZrOs2
_cell_length_a 4.3415
_cell_length_b 4.3415
_cell_length_c 21.2463
_cell_angle_alpha 90.00
_cell_angle_beta 90.00
_cell_angle_gamma 120.00
_space_group_name_H-M_alt 'R 3 m'
_space_group_IT_number 160
_space_group_name_Hall 'R 3 -2"'
loop_
_atom_site_label
_atom_site_type_symbol
_atom_site_fract_x
_atom_site_fract_y
_atom_site_fract_z
_atom_site_occupancy
Ba1 Ba 0.0000 0.0000 0.0000 1
Zr1 Zr 0.0000 0.0000 0.1792 1
Os1 Os 0.0000 0.0000 0.4519 1
Os2 Os 0.0000 0.0000 0.7856 1
```

Output
Its calculated density is 8.75 g/cm3. For the offset from the most stable computed form, the calculation gives 0.000 kcal/mol of atoms. Its volume is 347 Å³/cell. As for the formation energy: 0.197 eV per atom. The calculation puts the magnetic moment at 0.111 μB per formula unit. The calculation puts the electronic total energy at -8.036 eV/atom.



Record 11
This record from Alexandria describes an optimized crystal structure of Sm4Er3Hg4. The functional is PBE.

Geometry as CIF:
```
data_Sm4Er3Hg4
_cell_length_a 3.608
_cell_length_b 9.284
_cell_length_c 18.906
_cell_angle_alpha 90.00
_cell_angle_beta 90.00
_cell_angle_gamma 90.00
_space_group_name_H-M_alt 'I m m m'
_space_group_IT_number 71
_space_group_name_Hall '-I 2 2'
loop_
_atom_site_label
_atom_site_type_symbol
_atom_site_fract_x
_atom_site_fract_y
_atom_site_fract_z
_atom_site_occupancy
Sm1 Sm 0.000 0.180 0.160 1
Er1 Er 0.000 0.000 0.404 1
Er2 Er 0.000 0.500 0.500 1
Hg1 Hg 0.000 0.287 0.000 1
Hg2 Hg 0.000 0.500 0.227 1
```

Output
Its calculated density is 9.99 g/cm3. Its volume is 633 Å³/cell. As for the formation energy: -0.276 eV per atom. The calculation puts the magnetic moment at 0.000 μB per formula unit. The calculation puts the electronic total energy at -3.347 eV/atom.



Record 12
This record from Alexandria describes an optimized crystal structure of PrEr2ScBi4. The functional is PBE.

Geometry as CIF:
```
data_PrEr2ScBi4
_cell_length_a 7.718
_cell_length_b 4.464
_cell_length_c 7.729
_cell_angle_alpha 90.00
_cell_angle_beta 109.49
_cell_angle_gamma 90.00
_space_group_name_H-M_alt 'P 1 2/m 1'
_space_group_IT_number 10
_space_group_name_Hall '-P 2y'
loop_
_atom_site_label
_atom_site_type_symbol
_atom_site_fract_x
_atom_site_fract_y
_atom_site_fract_z
_atom_site_occupancy
Pr1 Pr 0.000 0.000 0.000 1
Er1 Er 0.000 0.500 0.500 1
Er2 Er 0.500 0.000 0.500 1
Sc1 Sc 0.500 0.500 0.000 1
Bi1 Bi 0.262 0.000 0.753 1
Bi2 Bi 0.263 0.500 0.255 1
```

Output
Its calculated density is 8.97 g/cm3. Its volume is 251 Å³/cell. As for the formation energy: -0.785 eV per atom. The calculation puts the magnetic moment at 0.000 μB per formula unit. The calculation puts the electronic total energy at -5.255 eV/atom.